# 1
# Rb3Sc5Cl12

A relaxed Rb3Sc5Cl12 crystal (PBE, Alexandria via LeMat-Bulk).

Summary:
Formation energy from raw total energies = -1659 meV per atom
Size of the total moment = 5.989 μB per formula unit

abc: 14.715 14.715 14.715
angles: 109.47 109.47 109.47
Sites, in units of the cell vectors:
1 Rb 0.125 0.250 0.375
2 Rb 0.125 0.375 0.750
3 Rb 0.250 0.375 0.125
4 Rb 0.250 0.875 0.625
5 Rb 0.375 0.125 0.250
6 Rb 0.375 0.750 0.125
7 Rb 0.625 0.250 0.875
8 Rb 0.625 0.875 0.750
9 Rb 0.750 0.125 0.375
10 Rb 0.750 0.625 0.875
11 Rb 0.875 0.625 0.250
12 Rb 0.875 0.750 0.625
13 Sc 0.000 0.000 0.000
14 Sc 0.000 0.000 0.500
15 Sc 0.000 0.500 0.000
16 Sc 0.000 0.500 0.500
17 Sc 0.125 0.750 0.875
18 Sc 0.125 0.875 0.250
19 Sc 0.250 0.125 0.875
20 Sc 0.250 0.625 0.375
21 Sc 0.375 0.250 0.625
22 Sc 0.375 0.625 0.750
23 Sc 0.500 0.000 0.000
24 Sc 0.500 0.000 0.500
25 Sc 0.500 0.500 0.000
26 Sc 0.500 0.500 0.500
27 Sc 0.625 0.375 0.250
28 Sc 0.625 0.750 0.375
29 Sc 0.750 0.375 0.625
30 Sc 0.750 0.875 0.125
31 Sc 0.875 0.125 0.750
32 Sc 0.875 0.250 0.125
33 Cl 0.012 0.190 0.109
34 Cl 0.012 0.322 0.903
35 Cl 0.081 0.690 0.678
36 Cl 0.081 0.891 0.403
37 Cl 0.097 0.609 0.419
38 Cl 0.097 0.988 0.678
39 Cl 0.109 0.012 0.190
40 Cl 0.109 0.597 0.919
41 Cl 0.178 0.190 0.581
42 Cl 0.178 0.488 0.597
43 Cl 0.190 0.109 0.012
44 Cl 0.190 0.581 0.178
45 Cl 0.310 0.322 0.919
46 Cl 0.310 0.488 0.391
47 Cl 0.322 0.903 0.012
48 Cl 0.322 0.919 0.310
49 Cl 0.391 0.310 0.488
50 Cl 0.391 0.581 0.903
51 Cl 0.403 0.081 0.891
52 Cl 0.403 0.822 0.512
53 Cl 0.419 0.097 0.609
54 Cl 0.419 0.822 0.810
55 Cl 0.488 0.391 0.310
56 Cl 0.488 0.597 0.178
57 Cl 0.512 0.403 0.822
58 Cl 0.512 0.609 0.690
59 Cl 0.581 0.178 0.190
60 Cl 0.581 0.903 0.391
61 Cl 0.597 0.178 0.488
62 Cl 0.597 0.919 0.109
63 Cl 0.609 0.419 0.097
64 Cl 0.609 0.690 0.512
65 Cl 0.678 0.081 0.690
66 Cl 0.678 0.097 0.988
67 Cl 0.690 0.512 0.609
68 Cl 0.690 0.678 0.081
69 Cl 0.810 0.419 0.822
70 Cl 0.810 0.891 0.988
71 Cl 0.822 0.512 0.403
72 Cl 0.822 0.810 0.419
73 Cl 0.891 0.403 0.081
74 Cl 0.891 0.988 0.810
75 Cl 0.903 0.012 0.322
76 Cl 0.903 0.391 0.581
77 Cl 0.919 0.109 0.597
78 Cl 0.919 0.310 0.322
79 Cl 0.988 0.678 0.097
80 Cl 0.988 0.810 0.891

# 2
# NaZn2Ge2

A relaxed NaZn2Ge2 crystal (PBE, Alexandria via LeMat-Bulk).

Summary:
Energy relative to the elements = 0.009 eV/atom
Distance to the lowest polymorph of the same formula = 100.2 meV per atom
Size of the total moment = 0.000 μB per formula unit

abc: 6.000 6.407 6.946
angles: 64.01 81.20 62.34
Sites, in units of the cell vectors:
1 Na 0.248 0.395 0.214
2 Na 0.752 0.605 0.786
3 Zn 0.190 0.995 0.075
4 Zn 0.274 0.738 0.492
5 Zn 0.726 0.262 0.508
6 Zn 0.810 0.005 0.925
7 Ge 0.178 0.022 0.687
8 Ge 0.344 0.287 0.762
9 Ge 0.656 0.713 0.238
10 Ge 0.822 0.978 0.313

# 3
# CeDy4Tl2

A relaxed CeDy4Tl2 crystal (PBE, Alexandria via LeMat-Bulk).

Summary:
Energy relative to the elements = 0.086 eV/atom
Size of the total moment = 1.430 μB per formula unit

abc: 9.409 9.409 9.409
angles: 33.63 33.63 33.63
Sites, in units of the cell vectors:
1 Ce 0.000 0.000 0.000
2 Dy 0.238 0.238 0.238
3 Dy 0.369 0.369 0.369
4 Dy 0.631 0.631 0.631
5 Dy 0.762 0.762 0.762
6 Tl 0.120 0.120 0.120
7 Tl 0.880 0.880 0.880

# 4
# NpMnZnIr

A relaxed NpMnZnIr crystal (PBE, Alexandria via LeMat-Bulk).

Summary:
Energy relative to the elements = -0.087 eV/atom
Size of the total moment = 0.787 μB per formula unit

abc: 6.440 6.440 6.440
angles: 90.00 90.00 90.00
Sites, in units of the cell vectors:
1 Np 0.000 0.000 0.000
2 Np 0.000 0.500 0.500
3 Np 0.500 0.000 0.500
4 Np 0.500 0.500 0.000
5 Mn 0.250 0.250 0.750
6 Mn 0.250 0.750 0.250
7 Mn 0.750 0.250 0.250
8 Mn 0.750 0.750 0.750
9 Zn 0.000 0.000 0.500
10 Zn 0.000 0.500 0.000
11 Zn 0.500 0.000 0.000
12 Zn 0.500 0.500 0.500
13 Ir 0.250 0.250 0.250
14 Ir 0.250 0.750 0.750
15 Ir 0.750 0.250 0.750
16 Ir 0.750 0.750 0.250

# 5
# TaCoRuPt2

A relaxed TaCoRuPt2 crystal (PBE, Alexandria via LeMat-Bulk).

Summary:
Energy relative to the elements = 0.999 eV/atom
Size of the total moment = 0.983 μB per formula unit

abc: 4.506 4.506 4.342
angles: 90.00 90.00 90.00
Sites, in units of the cell vectors:
1 Ta 0.000 0.000 0.000
2 Co 0.000 0.000 0.500
3 Ru 0.500 0.500 0.000
4 Pt 0.000 0.500 0.500
5 Pt 0.500 0.000 0.500

# 6
# CsAsSe2O8

A relaxed CsAsSe2O8 crystal (PBE, Alexandria via LeMat-Bulk).

Summary:
Formation energy from raw total energies = -882 meV per atom
Size of the total moment = 0.000 μB per formula unit

abc: 5.276 5.276 9.240
angles: 104.75 104.75 64.71
Sites, in units of the cell vectors:
1 Cs 0.000 0.000 0.000
2 As 0.500 0.500 0.500
3 Se 0.206 0.206 0.689
4 Se 0.794 0.794 0.311
5 O 0.153 0.671 0.323
6 O 0.279 0.279 0.540
7 O 0.329 0.847 0.677
8 O 0.338 0.338 0.857
9 O 0.662 0.662 0.143
10 O 0.671 0.153 0.323
11 O 0.721 0.721 0.460
12 O 0.847 0.329 0.677

> Number 5 is which compound?

TaCoRuPt2

> Look up the size of the total moment of the second one.

0.000 μB per formula unit